(1)
## Tb2PmNd4 (GGA-PBE)

Data for Tb2PmNd4 after structural relaxation.

Cell: 7.099 10.480 7.036 Å, 90.00 107.97 90.00°
Fractional positions:
Pm 0.500 0.500 0.000
Nd 0.267 0.283 0.309
Nd 0.268 0.716 0.309
Pm 0.000 0.500 0.000
Tb 0.000 0.000 0.500
Tb 0.000 0.000 0.000
Tb 0.000 0.500 0.500
Tb 0.500 0.000 0.500
Nd 0.730 0.212 0.192
Nd 0.733 0.717 0.691
Nd 0.732 0.284 0.691
Nd 0.270 0.788 0.808
Nd 0.730 0.788 0.192
Nd 0.270 0.212 0.808

Distance to the lowest polymorph of the same formula: 0.062 eV/atom
ΔE_f: 0.1795 eV per atom
Total moment: 0.000 μB/cell
Calculated density: 6.935 g/cm³
Space-group type: P2/m, No. 10



(2)
## ErSc2Cd4 (GGA-PBE)

Data for ErSc2Cd4 after structural relaxation.

Cell: 6.156 6.156 6.156 Å, 112.08 108.18 108.18°
Fractional positions:
Er 0.000 0.000 0.000
Cd 0.500 0.000 0.000
Cd 0.500 0.500 0.500
Cd 0.000 0.000 0.500
Sc 0.500 0.500 0.000
Cd 0.000 0.500 0.000
Sc 0.500 0.000 0.500

ΔE_f: -0.1631 eV per atom
Total moment: 0.000 μB/cell
Calculated density: 6.547 g/cm³
Space-group type: I4/mmm, No. 139



(3)
## Zr2GaAu3 (GGA-PBE)

Data for Zr2GaAu3 after structural relaxation.

Cell: 5.532 5.532 9.315 Å, 114.94 114.94 65.18°
Fractional positions:
Au 0.171 0.171 0.342
Au 0.344 0.344 0.171
Au 0.828 0.828 0.171
Au 0.656 0.656 0.829
Zr 0.754 0.246 0.000
Ga 0.333 0.333 0.666
Zr 0.250 0.750 0.500
Au 0.172 0.172 0.829
Ga 0.667 0.667 0.334
Au 0.829 0.829 0.658
Zr 0.246 0.754 0.000
Zr 0.750 0.250 0.500

Distance to the lowest polymorph of the same formula: 0.000 eV/atom
ΔE_f: -0.5586 eV per atom
Total moment: 0.000 μB/cell
Calculated density: 12.499 g/cm³
Space-group type: Fmmm, No. 69



(4)
## KGaNF2 (GGA-PBE)

Data for KGaNF2 after structural relaxation.

Cell: 4.950 4.950 5.014 Å, 90.00 90.00 90.00°
Fractional positions:
F 0.500 0.000 0.000
N 0.000 0.000 0.500
F 0.000 0.500 0.000
K 0.000 0.000 0.000
Ga 0.500 0.500 0.500

Distance to the lowest polymorph of the same formula: 1.186 eV/atom
Raw formation energy: -0.192 eV per atom
Total moment: 3.059 μB/cell
Calculated density: 2.174 g/cm³
Space-group type: P4/mmm, No. 123



(5)
## LaY2Sc (GGA-PBE)

Data for LaY2Sc after structural relaxation.

Cell: 6.169 6.169 6.062 Å, 80.04 80.04 33.44°
Fractional positions:
Y 0.504 0.504 0.496
Y 0.996 0.996 0.004
Sc 0.250 0.250 0.250
La 0.750 0.750 0.750

Distance to the lowest polymorph of the same formula: 0.018 eV/atom
ΔE_f: 0.0521 eV per atom
Total moment: 0.000 μB/cell
Calculated density: 4.803 g/cm³
Space-group type: C2/m, No. 12



(6)
## AlFe3H (GGA-PBE)

Data for AlFe3H after structural relaxation.

Cell: 4.495 5.036 5.165 Å, 76.28 90.38 63.13°
Fractional positions:
Fe 0.643 0.084 0.209
Fe 0.713 0.599 0.085
H 0.882 0.871 0.536
H 0.619 0.380 0.894
Fe 0.133 0.091 0.461
Fe 0.193 0.616 0.831
Al 0.145 0.102 0.959
Fe 0.623 0.109 0.714
Al 0.227 0.569 0.334
Fe 0.716 0.584 0.577

Distance to the lowest polymorph of the same formula: 0.084 eV/atom
Total moment: 12.384 μB/cell
Calculated density: 6.465 g/cm³
Space-group type: P1, No. 1



(7)
## Er4Ni2Hg (GGA-PBE)

Data for Er4Ni2Hg after structural relaxation.

Cell: 8.403 8.403 6.724 Å, 107.68 107.66 120.66°
Fractional positions:
Er 0.405 0.507 0.262
Ni 0.807 0.891 0.441
Ni 0.659 0.230 0.120
Ni 0.480 0.410 0.621
Er 0.275 0.103 0.727
Er 0.867 0.558 0.592
Er 0.353 0.025 0.227
Er 0.021 0.261 0.433
Er 0.808 0.617 0.092
Hg 0.951 0.966 0.924
Ni 0.141 0.557 0.941
Er 0.757 0.155 0.762
Hg 0.216 0.701 0.424
Er 0.511 0.771 0.933

ΔE_f: -0.3449 eV per atom
Total moment: 0.000 μB/cell
Calculated density: 10.161 g/cm³
Space-group type: Cc, No. 9



(8)
## KAsAuBr2 (GGA-PBE)

Data for KAsAuBr2 after structural relaxation.

Cell: 5.696 5.696 4.990 Å, 90.00 90.00 90.00°
Fractional positions:
K 0.500 0.500 0.500
Au 0.000 0.000 0.000
Br 0.500 0.000 0.000
As 0.000 0.000 0.500
Br 0.000 0.500 0.000

Distance to the lowest polymorph of the same formula: 0.000 eV/atom
Raw formation energy: -0.306 eV per atom
Total moment: 1.915 μB/cell
Calculated density: 4.829 g/cm³
Space-group type: P4/mmm, No. 123



(9)
## CoCuNi2 (GGA-PBE)

Data for CoCuNi2 after structural relaxation.

Cell: 4.343 4.343 2.494 Å, 90.00 90.00 109.00°
Fractional positions:
Cu 0.000 0.500 0.500
Ni 0.000 0.000 0.000
Ni 0.500 0.500 0.000
Co 0.500 0.000 0.500

ΔE_f: 0.0612 eV per atom
Total moment: 2.674 μB/cell
Calculated density: 8.955 g/cm³
Space-group type: Cmmm, No. 65



(10)
## Ac6CoHgRh (GGA-PBE)

Data for Ac6CoHgRh after structural relaxation.

Cell: 7.469 7.469 7.405 Å, 90.01 89.99 59.99°
Fractional positions:
Ac 0.350 0.642 0.277
Hg 0.000 0.000 0.000
Ac 0.008 0.642 0.723
Co 0.333 0.333 0.500
Ac 0.350 0.009 0.723
Rh 0.667 0.667 0.500
Ac 0.009 0.350 0.277
Ac 0.642 0.350 0.723
Ac 0.642 0.008 0.277

ΔE_f: -0.2317 eV per atom
Total moment: 0.000 μB/cell
Calculated density: 8.005 g/cm³
Space-group type: P312, No. 149



(11)
## LiPuAu (GGA-PBE)

Data for LiPuAu after structural relaxation.

Cell: 3.849 3.347 8.799 Å, 90.00 97.74 90.00°
Fractional positions:
Li 0.749 0.250 0.977
Pu 0.636 0.750 0.577
Au 0.812 0.750 0.226
Au 0.188 0.250 0.774
Pu 0.364 0.250 0.423
Li 0.251 0.750 0.023

Distance to the lowest polymorph of the same formula: 0.214 eV/atom
ΔE_f: -0.1203 eV per atom
Total moment: 0.000 μB/cell
Calculated density: 13.243 g/cm³
Space-group type: P2_1/m, No. 11



(12)
## HgPb2Cl (GGA-PBE)

Data for HgPb2Cl after structural relaxation.

Cell: 3.577 3.577 9.271 Å, 90.00 90.00 90.00°
Fractional positions:
Hg 0.500 0.500 0.745
Pb 0.500 0.500 0.273
Cl 0.000 0.000 0.473
Pb 0.000 0.000 0.009

Distance to the lowest polymorph of the same formula: 0.077 eV/atom
Raw formation energy: -0.215 eV per atom
Total moment: 0.000 μB/cell
Calculated density: 9.105 g/cm³
Space-group type: P4mm, No. 99



Which formula does entry 9 have? CoCuNi2